[1]
DFT (PBE-GGA) results for a geometry-optimized K2TlHg structure.

Calculated values
symmetry = I-42d (122)
ΔH_f (0 K) = -0.43 kcal/mol of atoms

a b c (Å): 9.6932 9.6932 7.6677
angles (deg): 50.80 50.80 90.00
Closest atoms and distances in Å follow each position.
Element x y z (fractional)
K 0.3750 0.3941 0.7500  2 Hg 3.41, 2 K 3.46, 2 Tl 3.66
K 0.8750 0.8559 0.7500  2 Hg 3.41, 2 K 3.46, 2 Tl 3.66
K 0.1441 0.6250 0.2500  2 Hg 3.41, 2 K 3.46, 2 Tl 3.66
K 0.6059 0.1250 0.2500  2 Hg 3.41, 2 K 3.46, 2 Tl 3.66
Hg 0.2500 0.7500 0.5000  4 K 3.41, 2 Tl 3.44
Hg 0.5000 0.5000 0.0000  4 K 3.41, 2 Tl 3.44
Tl 0.0000 0.0000 0.0000  2 Hg 3.44, 4 K 3.66
Tl 0.7500 0.2500 0.5000  2 Hg 3.44, 4 K 3.66

---

[2]
DFT (PBE-GGA) results for a geometry-optimized CsHo2AgS4 structure.

Calculated values
symmetry = Cmcm (63)
formation energy without anion corrections = -1.55 eV per atom

a b c (Å): 4.0958 7.3174 14.2673
angles (deg): 90.00 90.00 106.25
Closest atoms and distances in Å follow each position.
Element x y z (fractional)
Ho 0.3682 0.7365 0.5637  6 S 2.73-2.91
Ho 0.6318 0.2635 0.4363  6 S 2.73-2.91
Ho 0.3682 0.7365 0.9363  6 S 2.73-2.91
Ho 0.6318 0.2635 0.0637  6 S 2.73-2.91
S 0.7445 0.4889 0.5958  1 Ag 2.52, 3 Ho 2.73-2.77
S 0.5688 0.1377 0.2500  2 Ag 2.48
S 0.7445 0.4889 0.9042  1 Ag 2.52, 3 Ho 2.73-2.77
S 0.2555 0.5111 0.0958  1 Ag 2.52, 3 Ho 2.73-2.77
S 0.0000 0.0000 0.5000  4 Ho 2.91
S 0.4312 0.8623 0.7500  2 Ag 2.48
S 0.2555 0.5111 0.4042  1 Ag 2.52, 3 Ho 2.73-2.77
S 0.0000 0.0000 0.0000  4 Ho 2.91
Cs 0.1134 0.2267 0.7500  6 S 3.28-3.53
Cs 0.8866 0.7733 0.2500  6 S 3.28-3.53
Ag 0.8312 0.6625 0.7500  4 S 2.48-2.52
Ag 0.1688 0.3375 0.2500  4 S 2.48-2.52

---

[3]
DFT (PBE-GGA) results for a geometry-optimized Na3Pr2PaSe6 structure.

Calculated values
symmetry = C2/m (12)
formation energy without anion corrections = -1.53 eV per atom

a b c (Å): 7.3451 7.3451 7.4721
angles (deg): 99.46 99.46 120.00
Closest atoms and distances in Å follow each position.
Element x y z (fractional)
Se 0.5988 0.9202 0.7607  1 Pa 2.90, 2 Pr 3.01, 3 Na 3.03-3.11
Se 0.7587 0.7587 0.2377  1 Pa 2.89, 2 Pr 3.01, 3 Na 3.06-3.15
Se 0.9202 0.5988 0.7607  1 Pa 2.90, 2 Pr 3.01, 3 Na 3.03-3.11
Se 0.2413 0.2413 0.7623  1 Pa 2.89, 2 Pr 3.01, 3 Na 3.06-3.15
Se 0.0798 0.4012 0.2393  1 Pa 2.90, 2 Pr 3.01, 3 Na 3.03-3.11
Se 0.4012 0.0798 0.2393  1 Pa 2.90, 2 Pr 3.01, 3 Na 3.03-3.11
Pr 0.6665 0.3335 0.0000  6 Se 3.01
Pr 0.3335 0.6665 0.0000  6 Se 3.01
Pa 0.0000 0.0000 0.0000  6 Se 2.89-2.90
Na 0.1694 0.8306 0.5000  6 Se 3.03-3.11
Na 0.5000 0.5000 0.5000  6 Se 3.03-3.15
Na 0.8306 0.1694 0.5000  6 Se 3.03-3.11

---

[4]
DFT (PBE-GGA) results for a geometry-optimized PrZn2In structure.

Calculated values
symmetry = Amm2 (38)
ΔH_f (0 K) = -3.87 kcal/mol of atoms

a b c (Å): 4.4992 5.4487 4.7268
angles (deg): 125.19 90.00 90.00
Closest atoms and distances in Å follow each position.
Element x y z (fractional)
Zn 0.5000 0.2235 0.4469  2 Zn 2.46
Zn 0.0000 0.0959 0.1919  2 Zn 2.46
In 0.0000 0.4663 0.9327  5 Zn 2.86-2.93
Pr 0.5000 0.8173 0.6346  5 Zn 2.82-3.14

---

[5]
DFT (PBE-GGA) results for a geometry-optimized NaCa3Sm3S8 structure.

Calculated values
symmetry = R-3m (166)
formation energy without anion corrections = -1.93 eV per atom

a b c (Å): 8.0485 8.0484 8.0459
angles (deg): 120.01 90.00 120.00
Closest atoms and distances in Å follow each position.
Element x y z (fractional)
S 0.2496 0.4991 0.7427  2 Sm 2.81, 1 Na 2.84, 2 Ca 2.88
S 0.7436 0.9931 0.7427  2 Sm 2.81, 1 Na 2.84, 2 Ca 2.88
S 0.2506 0.5011 0.2517  3 Sm 2.84, 3 Ca 2.85
S 0.7494 0.4989 0.7483  3 Sm 2.84, 3 Ca 2.85
S 0.7504 0.5009 0.2573  2 Sm 2.81, 1 Na 2.84, 2 Ca 2.88
S 0.2564 0.0069 0.2573  2 Sm 2.81, 1 Na 2.84, 2 Ca 2.88
S 0.2495 0.9931 0.7427  2 Sm 2.81, 1 Na 2.84, 2 Ca 2.88
S 0.7505 0.0069 0.2573  2 Sm 2.81, 1 Na 2.84, 2 Ca 2.88
Ca 0.5000 0.5000 0.0000  6 S 2.85-2.88
Ca 0.0000 0.0000 0.0000  6 S 2.85-2.88
Ca 0.0000 0.5000 0.0000  6 S 2.85-2.88
Sm 0.5000 0.5000 0.5000  6 S 2.81-2.84
Sm 0.5000 0.0000 0.5000  6 S 2.81-2.84
Sm 0.0000 0.5000 0.5000  6 S 2.81-2.84
Na 0.0000 0.0000 0.5000  6 S 2.84

---

[6]
DFT (PBE-GGA) results for a geometry-optimized Mg2ScCrSe structure.

Calculated values
symmetry = P4/mmm (123)
formation energy without anion corrections = 0.22 eV per atom

a b c (Å): 4.9892 5.0517 4.9892
angles (deg): 90.00 90.00 90.00
Closest atoms and distances in Å follow each position.
Element x y z (fractional)
Mg 0.5000 0.0000 0.0000  2 Se 2.49
Mg 0.0000 0.0000 0.5000  2 Se 2.49
Cr 0.5000 0.5000 0.5000  4 Sc 3.53, 8 Mg 3.55
Sc 0.0000 0.5000 0.0000  2 Se 2.53
Se 0.0000 0.0000 0.0000  4 Mg 2.49, 2 Sc 2.53

---

[7]
DFT (PBE-GGA) results for a geometry-optimized La2ThPa structure.

Calculated values
symmetry = P4/mmm (123)
ΔH_f (0 K) = 4.86 kcal/mol of atoms

a b c (Å): 5.1081 4.8948 4.8948
angles (deg): 90.00 90.00 90.00
Closest atoms and distances in Å follow each position.
Element x y z (fractional)
La 0.0000 0.0000 0.5000  4 La 3.46, 4 Pa 3.54, 4 Th 3.54
La 0.0000 0.5000 0.0000  4 La 3.46, 4 Th 3.54, 4 Pa 3.54
Th 0.5000 0.5000 0.5000  4 Pa 3.46, 8 La 3.54
Pa 0.5000 0.0000 0.0000  4 Th 3.46, 8 La 3.54

---

[8]
DFT (PBE-GGA) results for a geometry-optimized La2TbEr structure.

Calculated values
symmetry = Fm-3m (225)
ΔH_f (0 K) = 1.97 kcal/mol of atoms

a b c (Å): 5.7994 5.7994 5.7994
angles (deg): 60.00 60.00 60.00
Closest atoms and distances in Å follow each position.
Element x y z (fractional)
Er 0.5000 0.5000 0.5000  8 La 3.55
Tb 0.0000 0.0000 0.0000  8 La 3.55
La 0.7500 0.7500 0.7500  4 Tb 3.55, 4 Er 3.55
La 0.2500 0.2500 0.2500  4 Tb 3.55, 4 Er 3.55

---

The following DFT total energy values (in eV per atom) correspond, in order, to the records above: -1.234, -5.225, -5.188, -2.684, -5.567, -4.304, -6.482, -4.677.